First-principles (GGA-PBE) data for Pm3Sm12Te5 after structural relaxation, as listed in Alexandria.

formation energy without anion corrections	-0.1173	eV/atom
total DFT energy (no corrections)	-4.447	eV per atom
V	805.9	Å³/f.u.

Cell lengths 16.118, 16.118, 16.118 Å; angles 109.47, 109.47, 109.47 degrees
Fractional coordinates of all 80 atoms:
1 Pm 0.125 0.250 0.375
2 Pm 0.125 0.375 0.750
3 Pm 0.250 0.375 0.125
4 Pm 0.250 0.875 0.625
5 Pm 0.375 0.125 0.250
6 Pm 0.375 0.750 0.125
7 Pm 0.625 0.250 0.875
8 Pm 0.625 0.875 0.750
9 Pm 0.750 0.125 0.375
10 Pm 0.750 0.625 0.875
11 Pm 0.875 0.625 0.250
12 Pm 0.875 0.750 0.625
13 Sm 0.052 0.222 0.124
14 Sm 0.052 0.330 0.928
15 Sm 0.072 0.624 0.401
16 Sm 0.072 0.948 0.670
17 Sm 0.099 0.722 0.670
18 Sm 0.099 0.876 0.428
19 Sm 0.124 0.052 0.222
20 Sm 0.124 0.572 0.901
21 Sm 0.170 0.222 0.599
22 Sm 0.170 0.448 0.572
23 Sm 0.222 0.124 0.052
24 Sm 0.222 0.599 0.170
25 Sm 0.278 0.330 0.901
26 Sm 0.278 0.448 0.376
27 Sm 0.330 0.901 0.278
28 Sm 0.330 0.928 0.052
29 Sm 0.376 0.278 0.448
30 Sm 0.376 0.599 0.928
31 Sm 0.401 0.072 0.624
32 Sm 0.401 0.830 0.778
33 Sm 0.428 0.099 0.876
34 Sm 0.428 0.830 0.552
35 Sm 0.448 0.376 0.278
36 Sm 0.448 0.572 0.170
37 Sm 0.552 0.428 0.830
38 Sm 0.552 0.624 0.722
39 Sm 0.572 0.170 0.448
40 Sm 0.572 0.901 0.124
41 Sm 0.599 0.170 0.222
42 Sm 0.599 0.928 0.376
43 Sm 0.624 0.401 0.072
44 Sm 0.624 0.722 0.552
45 Sm 0.670 0.072 0.948
46 Sm 0.670 0.099 0.722
47 Sm 0.722 0.552 0.624
48 Sm 0.722 0.670 0.099
49 Sm 0.778 0.401 0.830
50 Sm 0.778 0.876 0.948
51 Sm 0.830 0.552 0.428
52 Sm 0.830 0.778 0.401
53 Sm 0.876 0.428 0.099
54 Sm 0.876 0.948 0.778
55 Sm 0.901 0.124 0.572
56 Sm 0.901 0.278 0.330
57 Sm 0.928 0.052 0.330
58 Sm 0.928 0.376 0.599
59 Sm 0.948 0.670 0.072
60 Sm 0.948 0.778 0.876
61 Te 0.000 0.000 0.000
62 Te 0.000 0.000 0.500
63 Te 0.000 0.500 0.000
64 Te 0.000 0.500 0.500
65 Te 0.125 0.750 0.875
66 Te 0.125 0.875 0.250
67 Te 0.250 0.125 0.875
68 Te 0.250 0.625 0.375
69 Te 0.375 0.250 0.625
70 Te 0.375 0.625 0.750
71 Te 0.500 0.000 0.000
72 Te 0.500 0.000 0.500
73 Te 0.500 0.500 0.000
74 Te 0.500 0.500 0.500
75 Te 0.625 0.375 0.250
76 Te 0.625 0.750 0.375
77 Te 0.750 0.375 0.625
78 Te 0.750 0.875 0.125
79 Te 0.875 0.125 0.750
80 Te 0.875 0.250 0.125